NaY2Pb2: optimized geometry, GGA-PBE.

Computed properties:
energy above the most stable polymorph in this dataset = 0 meV/atom
VASP energy = -4.68 eV/atom
DFT formation energy = -0.3508 eV per atom

Cell: 8.134 8.134 4.436 Å, 90.00 90.00 90.00°
Space group P4/mbm (No. 127)
Inequivalent atoms, fractional coordinates:
Na 0.000 0.000 0.000 (multiplicity 2)
Y 0.172 0.328 0.500 (multiplicity 4)
Pb 0.133 0.633 0.000 (multiplicity 4)